<a>
A plane-wave DFT calculation with PBE was carried out for a relaxed structure of KCo3H.

## Properties
Its density of states at the Fermi level is 10.28 states/eV/f.u.

abc: 4.6914 4.6914 4.6914
angles: 90.00 90.00 90.00
Atoms (fractional coordinates):
Co 0.0000 0.5000 0.0000
Co 0.5000 0.0000 0.0000
Co 0.0000 0.0000 0.5000
K 0.0000 0.0000 0.0000
H 0.5000 0.5000 0.5000

---

<b>
A plane-wave DFT calculation with PBE was carried out for a relaxed structure of KCo3H.

## Properties
Its density of states at the Fermi level is 8.57 states/eV/f.u.

abc: 3.9768 3.9768 3.9768
angles: 90.00 90.00 90.00
Atoms (fractional coordinates):
Co 0.5000 0.0000 0.0000
Co 0.0000 0.0000 0.5000
Co 0.0000 0.5000 0.0000
K 0.5000 0.5000 0.5000
H 0.0000 0.0000 0.0000

---

Stability, descending: <b>, <a>